No. 1
The following is a DFT calculation (PBE) of an optimized crystal structure of RbHfTa2Sn.

Cell lengths 4.827, 4.827, 5.487 Å; angles 90.00, 90.00, 90.00 degrees
Space group P4/mmm (No. 123)
Symmetry-distinct sites (fractional):
Rb1 0.000 0.000 0.000
Hf1 0.500 0.500 0.500
Ta1 0.000 0.500 0.000
Sn1 0.000 0.000 0.500

electronic total energy	-4.98	eV/atom
E_form	2.74	eV per atom
crystal system	tetragonal

No. 2
The following is a DFT calculation (PBE) of an optimized crystal structure of CaTc3Pb.

Cell lengths 5.130, 5.130, 5.130 Å; angles 90.00, 90.00, 90.00 degrees
Space group Pm-3m (No. 221)
Symmetry-distinct sites (fractional):
Ca1 0.000 0.000 0.000
Tc1 0.000 0.500 0.500
Pb1 0.500 0.500 0.500

electronic total energy	-5.49	eV/atom
E_form	1.88	eV per atom
crystal system	cubic